Entry 1:
VASP calculation (PBE) on a relaxed structure of BSbN2O.

Computed properties:
- Energy relative to the elements, uncorrected: 0.5843 eV/atom
- Energy: -5.8974 eV/atom
- Total magnetic moment: 0.0 μB per formula unit

Cell: 3.2148 3.2148 4.9100 Å, 90.00 90.00 90.00°
Positions (direct):
Sb (0.5000, 0.5000, 0.5000)
B (0.0000, 0.0000, 0.0000)
O (0.0000, 0.0000, 0.5000)
N (0.0000, 0.5000, 0.0000)
N (0.5000, 0.0000, 0.0000)



Entry 2:
VASP calculation (PBE) on a relaxed structure of BSbNO2.

Computed properties:
- Energy relative to the elements, uncorrected: 0.8573 eV/atom
- Energy: -4.9510 eV/atom
- Total magnetic moment: 0.0 μB per formula unit

Cell: 3.9241 3.9241 4.0856 Å, 90.00 90.00 90.00°
Positions (direct):
Sb (0.0000, 0.0000, 0.0000)
B (0.5000, 0.5000, 0.5000)
O (0.0000, 0.5000, 0.0000)
O (0.5000, 0.0000, 0.0000)
N (0.0000, 0.0000, 0.5000)



Entry 3:
VASP calculation (PBE) on a relaxed structure of BSbN2O.

Computed properties:
- Energy relative to the elements, uncorrected: 1.6964 eV/atom
- Energy: -4.7853 eV/atom
- Total magnetic moment: 2.0 μB per formula unit

Cell: 4.1042 4.1042 3.9420 Å, 90.00 90.00 90.00°
Last column: magnetic moment on the atom in μB.
Positions (direct):
Sb (0.0000, 0.0000, 0.0000)  -0.05
B (0.5000, 0.5000, 0.5000)  -0.02
O (0.0000, 0.0000, 0.5000)  0.16
N (0.0000, 0.5000, 0.0000)  0.68
N (0.5000, 0.0000, 0.0000)  0.68